The following is a GGA-PBE calculation of a relaxed structure of ErTlCdS3, from OQMD.

a = 12.087 Å, b = 4.062 Å, c = 12.265 Å
α = 90.00°, β = 90.00°, γ = 90.00°
Sites, in units of the cell vectors:
1 S 0.091 0.000 0.436
2 S 0.409 0.500 0.936
3 S 0.757 0.000 0.826
4 S 0.591 0.000 0.064
5 S 0.909 0.500 0.564
6 S 0.464 0.000 0.312
7 S 0.036 0.500 0.812
8 S 0.257 0.000 0.674
9 S 0.743 0.500 0.326
10 S 0.964 0.000 0.188
11 S 0.243 0.500 0.174
12 S 0.536 0.500 0.688
13 Cd 0.751 0.000 0.196
14 Cd 0.749 0.500 0.696
15 Cd 0.249 0.500 0.804
16 Cd 0.251 0.000 0.304
17 Er 0.533 0.000 0.842
18 Er 0.033 0.000 0.658
19 Er 0.467 0.500 0.158
20 Er 0.967 0.500 0.342
21 Tl 0.646 0.000 0.483
22 Tl 0.854 0.500 0.983
23 Tl 0.354 0.500 0.517
24 Tl 0.146 0.000 0.017

Calculated values
- E_tot: -107.05 eV/cell
- Total magnetic moment: 0.0 μB per cell
- ΔE to the lowest computed polymorph: 26 meV/atom